VASP calculation (GGA-PBE) on a relaxed structure of LiMo3.

Calculated values
total magnetization: 0.00 μB/f.u.
final energy: -8.23 eV per atom
DFT formation energy: 0.3751 eV/atom
energy above the lowest structure with this stoichiometry: 143 meV per atom

Cell and atoms, written as CIF:
```
data_LiMo3
_symmetry_space_group_name_H-M 'C 1 2/m 1'
_symmetry_Int_Tables_number 12
_cell_length_a 9.1550
_cell_length_b 2.5737
_cell_length_c 5.2379
_cell_angle_alpha 90.00
_cell_angle_beta 92.32
_cell_angle_gamma 90.00
loop_
_symmetry_equiv_pos_as_xyz
'x,y,z'
'-x,-y,-z'
'-x,y,-z'
'x,-y,z'
'x+1/2,y+1/2,z'
'-x+1/2,-y+1/2,-z'
'-x+1/2,y+1/2,-z'
'x+1/2,-y+1/2,z'
loop_
_atom_site_label
_atom_site_type_symbol
_atom_site_fract_x
_atom_site_fract_y
_atom_site_fract_z
Li1 Li 0.0000 0.0000 0.0000
Mo1 Mo 0.0000 0.5000 0.5000
Mo2 Mo 0.2469 0.5000 0.2434
```